[1]
## Cr3SbO (PBE with a Hubbard U)

Data for a relaxed structure of Cr3SbO.

```
Cr3SbO
1.0
5.286 0.000 0.000
0.000 5.286 0.000
0.000 0.000 5.286
Cr Sb O
3 1 1
Direct
0.000 0.000 0.500 Cr
0.000 0.500 0.000 Cr
0.500 0.000 0.000 Cr
0.000 0.000 0.000 Sb
0.500 0.500 0.500 O
```

Properties
D(E_F): 1.189 states/eV/atom
spin magnetization: 13.0 μB per formula unit
total DFT energy (no corrections): -5.33 eV per atom
space-group type: No. 221

[2]
## CrSb2O6 (PBE with a Hubbard U)

Data for a relaxed structure of CrSb2O6.

```
CrSb2O6
1.0
2.611 -4.620 0.000
2.611 4.620 0.000
-0.307 0.000 4.714
Cr Sb O
1 2 6
Direct
0.000 0.000 0.000 Cr
0.333 0.667 0.500 Sb
0.667 0.333 0.500 Sb
0.012 0.369 0.731 O
0.344 0.344 0.268 O
0.369 0.012 0.731 O
0.631 0.988 0.269 O
0.656 0.656 0.732 O
0.988 0.631 0.269 O
```

Properties
D(E_F): 0.047 states/eV/atom
spin magnetization: 4.0 μB per formula unit
total DFT energy (no corrections): -6.51 eV per atom
space-group type: No. 12

[3]
## CrSbO (PBE with a Hubbard U)

Data for a relaxed structure of CrSbO.

```
CrSbO
1.0
2.113 -2.113 0.000
2.113 2.113 0.000
-2.097 0.000 11.940
Cr Sb O
2 2 2
Direct
0.195 0.195 0.389 Cr
0.805 0.805 0.611 Cr
0.062 0.062 0.125 Sb
0.938 0.938 0.875 Sb
0.300 0.300 0.600 O
0.700 0.700 0.400 O
```

Properties
D(E_F): 0.274 states/eV/atom
spin magnetization: 3.8 μB per formula unit
total DFT energy (no corrections): -6.47 eV per atom
space-group type: No. 12

[4]
## Cr3SbO8 (PBE with a Hubbard U)

Data for a relaxed structure of Cr3SbO8.

```
Cr3SbO8
1.0
2.991 -5.117 0.000
2.991 5.117 0.000
-0.233 0.000 9.280
Cr Sb O
6 2 16
Direct
0.080 0.418 0.483 Cr
0.085 0.915 0.500 Cr
0.417 0.593 0.993 Cr
0.418 0.080 0.983 Cr
0.593 0.417 0.493 Cr
0.915 0.085 0.000 Cr
0.585 0.907 0.713 Sb
0.907 0.585 0.213 Sb
0.072 0.416 0.097 O
0.073 0.914 0.099 O
0.205 0.729 0.365 O
0.244 0.249 0.404 O
0.249 0.244 0.904 O
0.292 0.779 0.860 O
0.416 0.072 0.597 O
0.417 0.578 0.605 O
0.578 0.417 0.105 O
0.581 0.933 0.097 O
0.729 0.205 0.865 O
0.734 0.779 0.871 O
0.779 0.292 0.360 O
0.779 0.734 0.371 O
0.914 0.073 0.599 O
0.933 0.581 0.597 O
```

Properties
spin magnetization: 7.0 μB per formula unit
total DFT energy (no corrections): -7.06 eV per atom
space-group type: No. 9

[5]
## CrSbO2 (PBE with a Hubbard U)

Data for a relaxed structure of CrSbO2.

```
CrSbO2
1.0
1.759 1.016 6.224
-1.759 1.016 6.224
0.000 -2.031 6.224
Cr Sb O
1 1 2
Direct
0.000 0.000 0.000 Cr
0.500 0.500 0.500 Sb
0.106 0.106 0.106 O
0.894 0.894 0.894 O
```

Properties
D(E_F): 0.171 states/eV/atom
spin magnetization: 4.3 μB per formula unit
total DFT energy (no corrections): -6.19 eV per atom
space-group type: No. 166

[6]
## CrSbO2 (PBE with a Hubbard U)

Data for a relaxed structure of CrSbO2.

```
CrSbO2
1.0
-2.889 2.889 4.089
2.889 -2.889 4.089
2.889 2.889 -4.089
Cr Sb O
2 2 4
Direct
0.000 0.000 0.000 Cr
0.750 0.250 0.500 Cr
0.250 0.750 0.500 Sb
0.500 0.500 0.000 Sb
0.375 0.124 0.249 O
0.874 0.625 0.749 O
0.875 0.126 0.751 O
0.876 0.125 0.251 O
```

Properties
D(E_F): 0.087 states/eV/atom
spin magnetization: 0.0 μB per formula unit
total DFT energy (no corrections): -5.81 eV per atom
space-group type: No. 122

[7]
## CrSb2O (PBE with a Hubbard U)

Data for a relaxed structure of CrSb2O.

```
CrSb2O
1.0
-2.591 2.591 6.895
2.591 -2.591 6.895
2.591 2.591 -6.895
Cr Sb O
2 4 2
Direct
0.000 0.000 0.000 Cr
0.750 0.250 0.500 Cr
0.206 0.625 0.081 Sb
0.375 0.456 0.581 Sb
0.544 0.125 0.919 Sb
0.875 0.794 0.419 Sb
0.250 0.750 0.500 O
0.500 0.500 0.000 O
```

Properties
D(E_F): 0.460 states/eV/atom
spin magnetization: 1.5 μB per formula unit
total DFT energy (no corrections): -4.60 eV per atom
space-group type: No. 122

[8]
## CrSb3O (PBE with a Hubbard U)

Data for a relaxed structure of CrSb3O.

```
CrSb3O
1.0
4.880 0.000 0.000
0.000 4.880 0.000
0.000 0.000 4.880
Cr Sb O
1 3 1
Direct
0.000 0.000 0.000 Cr
0.000 0.000 0.500 Sb
0.000 0.500 0.000 Sb
0.500 0.000 0.000 Sb
0.500 0.500 0.500 O
```

Properties
D(E_F): 0.790 states/eV/atom
spin magnetization: 0.0 μB per formula unit
total DFT energy (no corrections): -3.96 eV per atom
space-group type: No. 221

[9]
## Cr5Sb3O12 (PBE with a Hubbard U)

Data for a relaxed structure of Cr5Sb3O12.

```
Cr5Sb3O12
1.0
-6.364 6.364 6.364
6.364 -6.364 6.364
6.364 6.364 -6.364
Cr Sb O
20 12 48
Direct
0.000 0.000 0.000 Cr
0.000 0.000 0.500 Cr
0.000 0.500 0.000 Cr
0.000 0.500 0.500 Cr
0.125 0.750 0.875 Cr
0.125 0.875 0.250 Cr
0.250 0.125 0.875 Cr
0.250 0.625 0.375 Cr
0.375 0.250 0.625 Cr
0.375 0.625 0.750 Cr
0.500 0.000 0.000 Cr
0.500 0.000 0.500 Cr
0.500 0.500 0.000 Cr
0.500 0.500 0.500 Cr
0.625 0.375 0.250 Cr
0.625 0.750 0.375 Cr
0.750 0.375 0.625 Cr
0.750 0.875 0.125 Cr
0.875 0.125 0.750 Cr
0.875 0.250 0.125 Cr
0.125 0.250 0.375 Sb
0.125 0.375 0.750 Sb
0.250 0.375 0.125 Sb
0.250 0.875 0.625 Sb
0.375 0.125 0.250 Sb
0.375 0.750 0.125 Sb
0.625 0.250 0.875 Sb
0.625 0.875 0.750 Sb
0.750 0.125 0.375 Sb
0.750 0.625 0.875 Sb
0.875 0.625 0.250 Sb
0.875 0.750 0.625 Sb
0.025 0.199 0.130 O
0.025 0.326 0.895 O
0.069 0.699 0.674 O
0.069 0.870 0.395 O
0.105 0.630 0.431 O
0.105 0.975 0.674 O
0.130 0.025 0.199 O
0.130 0.605 0.931 O
0.174 0.199 0.569 O
0.174 0.475 0.605 O
0.199 0.130 0.025 O
0.199 0.569 0.174 O
0.301 0.326 0.931 O
0.301 0.475 0.370 O
0.326 0.895 0.025 O
0.326 0.931 0.301 O
0.370 0.301 0.475 O
0.370 0.569 0.895 O
0.395 0.069 0.870 O
0.395 0.826 0.525 O
0.431 0.105 0.630 O
0.431 0.826 0.801 O
0.475 0.370 0.301 O
0.475 0.605 0.174 O
0.525 0.395 0.826 O
0.525 0.630 0.699 O
0.569 0.174 0.199 O
0.569 0.895 0.370 O
0.605 0.174 0.475 O
0.605 0.931 0.130 O
0.630 0.431 0.105 O
0.630 0.699 0.525 O
0.674 0.069 0.699 O
0.674 0.105 0.975 O
0.699 0.525 0.630 O
0.699 0.674 0.069 O
0.801 0.431 0.826 O
0.801 0.870 0.975 O
0.826 0.525 0.395 O
0.826 0.801 0.431 O
0.870 0.395 0.069 O
0.870 0.975 0.801 O
0.895 0.025 0.326 O
0.895 0.370 0.569 O
0.931 0.130 0.605 O
0.931 0.301 0.326 O
0.975 0.674 0.105 O
0.975 0.801 0.870 O
```

Properties
spin magnetization: 15.0 μB per formula unit
total DFT energy (no corrections): -6.89 eV per atom
space-group type: No. 230

[10]
## CrSb2O6 (PBE with a Hubbard U)

Data for a relaxed structure of CrSb2O6.

```
CrSb2O6
1.0
8.903 0.000 0.000
-4.452 7.711 0.000
0.000 0.000 4.690
Cr Sb O
3 6 18
Direct
0.000 0.000 0.000 Cr
0.333 0.667 0.507 Cr
0.667 0.333 0.493 Cr
0.000 0.306 0.500 Sb
0.000 0.640 0.000 Sb
0.306 0.000 0.500 Sb
0.360 0.360 0.000 Sb
0.640 0.000 0.000 Sb
0.694 0.694 0.500 Sb
0.101 0.884 0.767 O
0.115 0.533 0.735 O
0.116 0.217 0.767 O
0.217 0.116 0.233 O
0.221 0.776 0.279 O
0.224 0.445 0.279 O
0.418 0.885 0.735 O
0.445 0.224 0.721 O
0.467 0.582 0.735 O
0.533 0.115 0.265 O
0.555 0.779 0.279 O
0.582 0.467 0.265 O
0.776 0.221 0.721 O
0.779 0.555 0.721 O
0.783 0.899 0.767 O
0.884 0.101 0.233 O
0.885 0.418 0.265 O
0.899 0.783 0.233 O
```

Properties
D(E_F): 0.250 states/eV/atom
spin magnetization: 2.8 μB per formula unit
total DFT energy (no corrections): -6.54 eV per atom
space-group type: No. 150

[11]
## Cr2SbO (PBE with a Hubbard U)

Data for a relaxed structure of Cr2SbO.

```
Cr2SbO
1.0
-2.649 2.649 5.674
2.649 -2.649 5.674
2.649 2.649 -5.674
Cr Sb O
4 2 2
Direct
0.375 0.217 0.342 Cr
0.783 0.125 0.158 Cr
0.875 0.033 0.658 Cr
0.967 0.625 0.842 Cr
0.250 0.750 0.500 Sb
0.500 0.500 0.000 Sb
0.000 0.000 0.000 O
0.750 0.250 0.500 O
```

Properties
D(E_F): 0.600 states/eV/atom
spin magnetization: 7.2 μB per formula unit
total DFT energy (no corrections): -6.56 eV per atom
space-group type: No. 122

[12]
## CrSbO2 (PBE with a Hubbard U)

Data for a relaxed structure of CrSbO2.

```
CrSbO2
1.0
1.561 0.901 6.530
-1.561 0.901 6.530
0.000 -1.802 6.530
Cr Sb O
1 1 2
Direct
0.000 0.000 0.000 Cr
0.500 0.500 0.500 Sb
0.384 0.384 0.384 O
0.616 0.616 0.616 O
```

Properties
D(E_F): 0.237 states/eV/atom
spin magnetization: 3.1 μB per formula unit
total DFT energy (no corrections): -6.77 eV per atom
space-group type: No. 166

[13]
## Cr3SbO (PBE with a Hubbard U)

Data for a relaxed structure of Cr3SbO.

```
Cr3SbO
1.0
4.417 0.000 0.000
0.000 4.417 0.000
0.000 0.000 4.417
Cr Sb O
3 1 1
Direct
0.000 0.000 0.500 Cr
0.000 0.500 0.000 Cr
0.500 0.000 0.000 Cr
0.500 0.500 0.500 Sb
0.000 0.000 0.000 O
```

Properties
D(E_F): 0.481 states/eV/atom
spin magnetization: 13.0 μB per formula unit
total DFT energy (no corrections): -6.69 eV per atom
space-group type: No. 221

[14]
## CrSb3O (PBE with a Hubbard U)

Data for a relaxed structure of CrSb3O.

```
CrSb3O
1.0
4.706 0.000 0.000
0.000 4.706 0.000
0.000 0.000 4.706
Cr Sb O
1 3 1
Direct
0.000 0.000 0.000 Cr
0.000 0.500 0.500 Sb
0.500 0.000 0.500 Sb
0.500 0.500 0.000 Sb
0.500 0.500 0.500 O
```

Properties
D(E_F): 0.841 states/eV/atom
spin magnetization: 1.2 μB per formula unit
total DFT energy (no corrections): -4.34 eV per atom
space-group type: No. 221

[15]
## Cr5Sb3O16 (PBE with a Hubbard U)

Data for a relaxed structure of Cr5Sb3O16.

```
Cr5Sb3O16
1.0
5.241 -3.040 0.000
5.241 3.040 0.000
-0.040 0.000 9.122
Cr Sb O
5 3 16
Direct
0.000 0.000 0.000 Cr
0.334 0.837 0.505 Cr
0.512 0.512 0.228 Cr
0.837 0.334 0.505 Cr
0.839 0.839 0.721 Cr
0.000 0.503 0.999 Sb
0.338 0.338 0.498 Sb
0.503 0.000 0.999 Sb
0.000 0.000 0.597 O
0.121 0.690 0.871 O
0.168 0.168 0.397 O
0.168 0.168 0.888 O
0.220 0.652 0.371 O
0.338 0.338 0.109 O
0.341 0.839 0.108 O
0.501 0.501 0.615 O
0.503 0.996 0.605 O
0.641 0.641 0.384 O
0.652 0.220 0.371 O
0.689 0.689 0.864 O
0.690 0.121 0.871 O
0.834 0.834 0.117 O
0.839 0.341 0.108 O
0.996 0.503 0.605 O
```

Properties
D(E_F): 0.032 states/eV/atom
spin magnetization: 13.0 μB per formula unit
total DFT energy (no corrections): -6.92 eV per atom
space-group type: No. 8

[16]
## Cr2SbO (PBE with a Hubbard U)

Data for a relaxed structure of Cr2SbO.

```
Cr2SbO
1.0
0.000 3.214 3.214
3.214 0.000 3.214
3.214 3.214 0.000
Cr Sb O
2 1 1
Direct
0.250 0.250 0.250 Cr
0.750 0.750 0.750 Cr
0.000 0.000 0.000 Sb
0.500 0.500 0.500 O
```

Properties
D(E_F): 0.023 states/eV/atom
spin magnetization: 7.0 μB per formula unit
total DFT energy (no corrections): -5.89 eV per atom
space-group type: No. 225

[17]
## CrSb2O6 (PBE with a Hubbard U)

Data for a relaxed structure of CrSb2O6.

```
CrSb2O6
1.0
4.773 0.000 0.000
0.000 4.773 0.000
0.000 0.000 9.594
Cr Sb O
2 4 12
Direct
0.000 0.000 0.000 Cr
0.500 0.500 0.500 Cr
0.000 0.000 0.333 Sb
0.000 0.000 0.667 Sb
0.500 0.500 0.167 Sb
0.500 0.500 0.833 Sb
0.192 0.192 0.166 O
0.192 0.192 0.834 O
0.194 0.194 0.500 O
0.306 0.694 0.000 O
0.308 0.692 0.334 O
0.308 0.692 0.666 O
0.692 0.308 0.334 O
0.692 0.308 0.666 O
0.694 0.306 0.000 O
0.806 0.806 0.500 O
0.808 0.808 0.166 O
0.808 0.808 0.834 O
```

Properties
D(E_F): 0.222 states/eV/atom
spin magnetization: 3.2 μB per formula unit
total DFT energy (no corrections): -6.56 eV per atom
space-group type: No. 136

[18]
## CrSbO6 (PBE with a Hubbard U)

Data for a relaxed structure of CrSbO6.

```
CrSbO6
1.0
4.226 -2.736 0.000
4.226 2.736 0.000
-2.892 0.000 4.037
Cr Sb O
1 1 6
Direct
0.000 0.000 0.000 Cr
0.500 0.500 0.500 Sb
0.152 0.669 0.148 O
0.244 0.244 0.426 O
0.331 0.848 0.852 O
0.669 0.152 0.148 O
0.756 0.756 0.574 O
0.848 0.331 0.852 O
```

Properties
D(E_F): 0.274 states/eV/atom
spin magnetization: 1.0 μB per formula unit
total DFT energy (no corrections): -5.91 eV per atom
space-group type: No. 12

[19]
## CrSbO3 (PBE with a Hubbard U)

Data for a relaxed structure of CrSbO3.

```
CrSbO3
1.0
3.806 0.000 0.000
0.000 3.806 0.000
0.000 0.000 3.806
Cr Sb O
1 1 3
Direct
0.000 0.000 0.000 Cr
0.500 0.500 0.500 Sb
0.000 0.000 0.500 O
0.000 0.500 0.000 O
0.500 0.000 0.000 O
```

Properties
D(E_F): 1.070 states/eV/atom
spin magnetization: 0.0 μB per formula unit
total DFT energy (no corrections): -5.96 eV per atom
space-group type: No. 221

The following ρ values (in g/cm3) correspond, in order, to the records above: 3.30, 5.72, 5.91, 4.74, 5.12, 5.01, 5.59, 6.19, 5.27, 6.06, 5.04, 6.20, 5.66, 6.90, 5.04, 6.05, 5.95, 4.80, 6.68.